Entry from Alexandria via LeMat-Bulk: a geometry-optimized MgSc2BAs structure (GGA-PBE).

Properties
For the formation energy from the elements, the calculation gives 1.68 eV per formula unit. Its space group is P4/mmm, No. 123.

Cell: 5.154 5.154 4.042 Å, 90.00 90.00 90.00°
Positions (direct):
Mg 0.000 0.000 0.000
Sc 0.000 0.500 0.500
Sc 0.500 0.000 0.500
B 0.500 0.500 0.000
As 0.500 0.500 0.500


Entry from Alexandria via LeMat-Bulk: a geometry-optimized MgBAs2Se structure (GGA-PBE).

Properties
For the uncorrected formation energy, the calculation gives 0.416 eV/atom. The energy relative to the lowest polymorph listed for this composition comes out at 0.0 meV per atom. Its space group is P4/mmm, No. 123.

Cell: 4.313 4.313 4.881 Å, 90.00 90.00 90.00°
Positions (direct):
Mg 0.000 0.000 0.000
B 0.000 0.000 0.500
As 0.000 0.500 0.500
As 0.500 0.000 0.500
Se 0.500 0.500 0.000


Entry from Alexandria via LeMat-Bulk: a geometry-optimized MgBAs2Se structure (GGA-PBE).

Properties
For the uncorrected formation energy, the calculation gives 1.394 eV/atom. The energy relative to the lowest polymorph listed for this composition comes out at 977.4 meV per atom. Its space group is P4/mmm, No. 123.

Cell: 4.956 4.956 5.056 Å, 90.00 90.00 90.00°
Positions (direct):
Mg 0.000 0.000 0.000
B 0.500 0.500 0.500
As 0.000 0.500 0.000
As 0.500 0.000 0.000
Se 0.000 0.000 0.500


Entry from Alexandria via LeMat-Bulk: a geometry-optimized MgBAs2Se structure (GGA-PBE).

Properties
For the uncorrected formation energy, the calculation gives 0.527 eV/atom. The energy relative to the lowest polymorph listed for this composition comes out at 111.3 meV per atom. Its space group is P4/mmm, No. 123.

Cell: 4.435 4.435 4.660 Å, 90.00 90.00 90.00°
Positions (direct):
Mg 0.000 0.000 0.000
B 0.500 0.500 0.500
As 0.000 0.500 0.500
As 0.500 0.000 0.500
Se 0.500 0.500 0.000


Entry from Alexandria via LeMat-Bulk: a geometry-optimized MgBAsSe2 structure (GGA-PBE).

Properties
For the uncorrected formation energy, the calculation gives 0.364 eV/atom. The energy relative to the lowest polymorph listed for this composition comes out at 0.0 meV per atom. Its space group is P4/mmm, No. 123.

Cell: 4.904 4.904 3.954 Å, 90.00 90.00 90.00°
Positions (direct):
Mg 0.000 0.000 0.000
B 0.500 0.500 0.500
As 0.500 0.500 0.000
Se 0.000 0.500 0.500
Se 0.500 0.000 0.500


Entry from Alexandria via LeMat-Bulk: a geometry-optimized MgBAsSe2 structure (GGA-PBE).

Properties
For the uncorrected formation energy, the calculation gives 1.223 eV/atom. The energy relative to the lowest polymorph listed for this composition comes out at 859.1 meV per atom. Its space group is P4/mmm, No. 123.

Cell: 5.061 5.061 4.932 Å, 90.00 90.00 90.00°
Positions (direct):
Mg 0.000 0.000 0.000
B 0.500 0.500 0.500
As 0.000 0.000 0.500
Se 0.000 0.500 0.000
Se 0.500 0.000 0.000


Entry from Alexandria via LeMat-Bulk: a geometry-optimized MgSiBAs2 structure (GGA-PBE).

Properties
For the uncorrected formation energy, the calculation gives 0.658 eV/atom. Its space group is P4/mmm, No. 123.

Cell: 4.423 4.423 4.414 Å, 90.00 90.00 90.00°
Positions (direct):
Mg 0.000 0.000 0.000
Si 0.500 0.500 0.000
B 0.000 0.000 0.500
As 0.000 0.500 0.500
As 0.500 0.000 0.500


Entry from Alexandria via LeMat-Bulk: a geometry-optimized Mg2TiBAs structure (GGA-PBE).

Properties
For the formation energy from the elements, the calculation gives 6.69 eV per formula unit. Its space group is P4/mmm, No. 123.

Cell: 5.370 5.370 4.743 Å, 90.00 90.00 90.00°
Positions (direct):
Mg 0.000 0.500 0.000
Mg 0.500 0.000 0.000
Ti 0.000 0.000 0.000
B 0.500 0.500 0.500
As 0.000 0.000 0.500


Entry from Alexandria via LeMat-Bulk: a geometry-optimized MnBAs3 structure (GGA-PBE).

Properties
For the formation energy from the elements, the calculation gives 5.78 eV per formula unit. Its space group is Pm-3m, No. 221.

Cell: 4.305 4.305 4.305 Å, 90.00 90.00 90.00°
Positions (direct):
Mn 0.000 0.000 0.000
B 0.500 0.500 0.500
As 0.000 0.500 0.500
As 0.500 0.000 0.500
As 0.500 0.500 0.000


Entry from Alexandria via LeMat-Bulk: a geometry-optimized Mn2BAs structure (GGA-PBE).

Properties
For the formation energy from the elements, the calculation gives 1.65 eV per formula unit. The energy relative to the lowest polymorph listed for this composition comes out at 139.8 meV per atom. Its space group is I-42d, No. 122.

Cell: 6.102 6.102 6.102 Å, 131.78 131.78 70.58°
Positions (direct):
Mn 0.050 0.625 0.925
Mn 0.375 0.300 0.425
Mn 0.700 0.125 0.075
Mn 0.875 0.950 0.575
B 0.000 0.000 0.000
B 0.750 0.250 0.500
As 0.250 0.750 0.500
As 0.500 0.500 0.000


Entry from Alexandria via LeMat-Bulk: a geometry-optimized MnB2As structure (GGA-PBE).

Properties
For the formation energy from the elements, the calculation gives 2.41 eV per formula unit. Its space group is I-42d, No. 122.

Cell: 5.785 5.785 5.785 Å, 131.28 131.28 71.37°
Positions (direct):
Mn 0.000 0.000 0.000
Mn 0.750 0.250 0.500
B 0.119 0.625 0.994
B 0.375 0.369 0.494
B 0.631 0.125 0.006
B 0.875 0.881 0.506
As 0.250 0.750 0.500
As 0.500 0.500 0.000


Entry from Alexandria via LeMat-Bulk: a geometry-optimized MnB3As structure (GGA-PBE).

Properties
For the formation energy from the elements, the calculation gives 11.43 eV per formula unit. The energy relative to the lowest polymorph listed for this composition comes out at 1034.8 meV per atom. Its space group is Pm-3m, No. 221.

Cell: 4.032 4.032 4.032 Å, 90.00 90.00 90.00°
Positions (direct):
Mn 0.000 0.000 0.000
B 0.000 0.500 0.500
B 0.500 0.000 0.500
B 0.500 0.500 0.000
As 0.500 0.500 0.500


Summary of DOS at the Fermi energy in states/eV per atom
0.48, 0.67, 0.79, 0.91, 0.20, 0.98, 0.58, 0.99, 1.49, 0.51, 0.00, 1.02
(order as listed above)
Summary of spin magnetization in μB per formula unit
0.00, 0.00, 0.00, 0.00, 0.00, 0.00, 0.00, 1.01, 0.27, 4.69, 2.00, 0.35
(order as listed above)